(1)
Here is an optimized crystal structure of Hf5VRu4 from Alexandria. Energies are from GGA-PBE.

Cell: 3.237 3.237 16.442 Å, 90.00 90.00 90.00°
Element x y z (fractional)
Hf (0.000, 0.000, 0.000)
Hf (0.000, 0.000, 0.199)
Hf (0.000, 0.000, 0.396)
Hf (0.000, 0.000, 0.604)
Hf (0.000, 0.000, 0.801)
V (0.500, 0.500, 0.500)
Ru (0.500, 0.500, 0.099)
Ru (0.500, 0.500, 0.296)
Ru (0.500, 0.500, 0.704)
Ru (0.500, 0.500, 0.901)

Summary:
Formation energy from the elements = -0.62 eV/atom
Spin magnetization = 0.0 Bohr magnetons per cell
Space-group type = P4/mmm, No. 123

---

(2)
Here is an optimized crystal structure of Hf3VRu2 from Alexandria. Energies are from GGA-PBE.

Cell: 3.242 3.242 9.901 Å, 90.00 90.00 90.00°
Element x y z (fractional)
Hf (0.000, 0.000, 0.000)
Hf (0.000, 0.000, 0.328)
Hf (0.000, 0.000, 0.672)
V (0.500, 0.500, 0.500)
Ru (0.500, 0.500, 0.163)
Ru (0.500, 0.500, 0.837)

Summary:
Formation energy from the elements = -0.49 eV/atom
Spin magnetization = 1.0 Bohr magnetons per cell
Space-group type = P4/mmm, No. 123

---

(3)
Here is an optimized crystal structure of HfV2Ru from Alexandria. Energies are from GGA-PBE.

Cell: 4.408 4.408 4.408 Å, 60.00 60.00 60.00°
Element x y z (fractional)
Hf (0.000, 0.000, 0.000)
V (0.250, 0.250, 0.250)
V (0.750, 0.750, 0.750)
Ru (0.500, 0.500, 0.500)

Summary:
Formation energy from the elements = -0.09 eV/atom
Spin magnetization = 0.0 Bohr magnetons per cell
Space-group type = Fm-3m, No. 225

---

(4)
Here is an optimized crystal structure of HfV2Ru from Alexandria. Energies are from GGA-PBE.

Cell: 5.692 5.692 5.692 Å, 102.58 102.58 124.35°
Element x y z (fractional)
Hf (0.000, 0.000, 0.000)
Hf (0.750, 0.250, 0.500)
V (0.165, 0.625, 0.040)
V (0.375, 0.415, 0.540)
V (0.585, 0.125, 0.960)
V (0.875, 0.835, 0.460)
Ru (0.250, 0.750, 0.500)
Ru (0.500, 0.500, 0.000)

Summary:
Formation energy from the elements = 0.27 eV/atom
Spin magnetization = 0.0 Bohr magnetons per cell
Space-group type = I-42d, No. 122